[1]
The following is a DFT calculation (PBE) of a relaxed Np2Ge4Rh3Au crystal.

- Total energy: -7.3646 eV/atom
- Energy of formation from the pure elements: -0.396 eV per atom
- Theoretical density: 11.382 g/cm3
- Size of the total moment: 7.99 μB per cell

Geometry as CIF:
```
data_Np2Ge4Rh3Au
_space_group_name_H-M_alt 'P -4 m 2'
_space_group_IT_number 115
_cell_length_a 4.245
_cell_length_b 4.245
_cell_length_c 10.281
_cell_angle_alpha 90.00
_cell_angle_beta 90.00
_cell_angle_gamma 90.00
loop_
_space_group_symop_operation_xyz
'x,y,z'
'y,-x,-z'
'-x,-y,z'
'-y,x,-z'
'-x,y,z'
'-y,-x,-z'
'x,-y,z'
'y,x,-z'
loop_
_atom_site_label
_atom_site_fract_x
_atom_site_fract_y
_atom_site_fract_z
Np1 0.000 0.500 0.239
Ge1 0.000 0.000 0.000
Ge2 0.000 0.500 0.642
Ge3 0.500 0.500 0.000
Rh1 0.000 0.500 0.875
Rh2 0.500 0.500 0.500
Au1 0.000 0.000 0.500
```

***

[2]
The following is a DFT calculation (PBE) of a relaxed NpSnGeAu crystal.

- Total energy: -6.2645 eV/atom
- Energy of formation from the pure elements: -0.055 eV per atom
- Theoretical density: 11.716 g/cm3
- Size of the total moment: 16.61 μB per cell

Geometry as CIF:
```
data_NpSnGeAu
_space_group_name_H-M_alt 'F -4 3 m'
_space_group_IT_number 216
_space_group_name_Hall 'F -4 2 3'
_cell_length_a 7.077
_cell_length_b 7.077
_cell_length_c 7.077
_cell_angle_alpha 90.00
_cell_angle_beta 90.00
_cell_angle_gamma 90.00
loop_
_atom_site_label
_atom_site_fract_x
_atom_site_fract_y
_atom_site_fract_z
Np1 0.000 0.000 0.000
Sn1 0.000 0.000 0.500
Ge1 0.250 0.250 0.750
Au1 0.250 0.250 0.250
```

***

> What is the formula in the second record?

NpSnGeAu